Compound: La5Au
Source: the Alexandria database
Functional: meta-GGA SCAN
Structure: PBEsol geometry

Cell lengths 3.703, 6.454, 8.623 Å; angles 108.06, 90.00, 106.67 degrees
Element x y z (fractional)
1 La 0.403 0.807 0.221
2 La 0.687 0.374 0.347
3 Au 0.996 0.993 0.007
4 La 0.048 0.096 0.589
5 La 0.679 0.358 0.940
6 La 0.353 0.706 0.729

Values from the calculation:
Distance to the lowest polymorph of the same formula   0.0 meV per atom
Fermi-level density of states   7.23 states/eV per cell
Energy relative to the elements   -0.325 eV per atom
SG   Cm (8)
Total DFT energy (no corrections)   -47.77 eV per atom

Compound: LaAu2
Source: the Alexandria database
Functional: meta-GGA SCAN
Structure: PBEsol geometry

Cell lengths 4.232, 5.963, 6.629 Å; angles 116.73, 108.61, 90.00 degrees
Element x y z (fractional)
1 Au 0.000 0.250 0.000
2 Au 0.000 0.750 0.000
3 Au 0.627 0.627 0.255
4 Au 0.373 0.373 0.745
5 La 0.326 0.826 0.652
6 La 0.674 0.174 0.348

Values from the calculation:
Fermi-level density of states   3.09 states/eV per cell
Energy relative to the elements   -0.934 eV per atom
SG   Immm (71)
Total DFT energy (no corrections)   -61.41 eV per atom

Compound: La4Au
Source: the Alexandria database
Functional: meta-GGA SCAN
Structure: PBEsol geometry

Cell lengths 3.740, 3.740, 11.131 Å; angles 99.67, 99.67, 90.00 degrees
Element x y z (fractional)
1 La 0.806 0.806 0.612
2 La 0.418 0.418 0.836
3 La 0.582 0.582 0.164
4 Au 0.000 0.000 0.000
5 La 0.194 0.194 0.388

Values from the calculation:
Distance to the lowest polymorph of the same formula   18.5 meV per atom
Fermi-level density of states   5.54 states/eV per cell
Energy relative to the elements   -0.396 eV per atom
SG   I4/mmm (139)
Total DFT energy (no corrections)   -48.71 eV per atom

Compound: LaAu2
Source: the Alexandria database
Functional: meta-GGA SCAN
Structure: PBEsol geometry

Cell lengths 5.360, 6.147, 8.417 Å; angles 90.00, 90.00, 90.00 degrees
Element x y z (fractional)
1 Au 0.750 0.771 0.446
2 Au 0.250 0.729 0.946
3 Au 0.750 0.014 0.746
4 La 0.750 0.272 0.408
5 La 0.250 0.728 0.592
6 La 0.750 0.772 0.092
7 Au 0.750 0.271 0.054
8 Au 0.250 0.486 0.246
9 Au 0.750 0.514 0.754
10 La 0.250 0.228 0.908
11 Au 0.250 0.229 0.554
12 Au 0.250 0.986 0.254

Values from the calculation:
Fermi-level density of states   7.22 states/eV per cell
Energy relative to the elements   -0.938 eV per atom
SG   Pnma (62)
Total DFT energy (no corrections)   -61.41 eV per atom

Compound: LaAu
Source: the Alexandria database
Functional: meta-GGA SCAN
Structure: PBEsol geometry

Cell lengths 3.932, 4.755, 5.968 Å; angles 90.00, 108.33, 90.00 degrees
Element x y z (fractional)
1 La 0.868 0.250 0.728
2 La 0.132 0.750 0.272
3 Au 0.584 0.250 0.172
4 Au 0.416 0.750 0.828

Values from the calculation:
Fermi-level density of states   2.68 states/eV per cell
Energy relative to the elements   -1.074 eV per atom
SG   P2_1/m (11)
Total DFT energy (no corrections)   -57.20 eV per atom

Compound: LaAu2
Source: the Alexandria database
Functional: meta-GGA SCAN
Structure: PBEsol geometry

Cell lengths 5.100, 5.100, 6.131 Å; angles 90.00, 90.00, 120.00 degrees
Element x y z (fractional)
1 La 0.667 0.333 0.250
2 Au 0.000 0.000 0.500
3 La 0.333 0.667 0.750
4 Au 0.667 0.333 0.750
5 Au 0.333 0.667 0.250
6 Au 0.000 0.000 0.000

Values from the calculation:
Fermi-level density of states   3.69 states/eV per cell
Energy relative to the elements   -0.927 eV per atom
SG   P6_3/mmc (194)
Total DFT energy (no corrections)   -61.40 eV per atom

Compound: LaAu3
Source: the Alexandria database
Functional: meta-GGA SCAN
Structure: PBEsol geometry

Cell lengths 4.759, 6.494, 6.433 Å; angles 120.31, 90.00, 90.00 degrees
Element x y z (fractional)
1 Au 0.250 0.149 0.847
2 Au 0.250 0.698 0.847
3 La 0.750 0.335 0.671
4 Au 0.750 0.302 0.153
5 Au 0.750 0.847 0.695
6 Au 0.250 0.153 0.305
7 La 0.250 0.665 0.329
8 Au 0.750 0.851 0.153

Values from the calculation:
Fermi-level density of states   3.35 states/eV per cell
Energy relative to the elements   -0.842 eV per atom
SG   Cmcm (63)
Total DFT energy (no corrections)   -63.49 eV per atom

Compound: LiLa2Au
Source: the Alexandria database
Functional: meta-GGA SCAN
Structure: PBEsol geometry

Cell lengths 3.899, 4.737, 5.994 Å; angles 90.00, 108.98, 90.00 degrees
Element x y z (fractional)
1 Au 0.563 0.500 0.125
2 La 0.973 0.000 0.947
3 Li 0.685 0.000 0.371
4 La 0.275 0.500 0.550

Values from the calculation:
Fermi-level density of states   3.81 states/eV per cell
Energy relative to the elements   -0.492 eV per atom
SG   Amm2 (38)
Total DFT energy (no corrections)   -39.93 eV per atom

Compound: LiLa2Au
Source: the Alexandria database
Functional: meta-GGA SCAN
Structure: PBEsol geometry

Cell lengths 3.926, 5.125, 5.125 Å; angles 90.00, 90.00, 90.00 degrees
Element x y z (fractional)
1 La 0.000 0.500 0.000
2 Au 0.500 0.000 0.000
3 Li 0.500 0.500 0.500
4 La 0.000 0.000 0.500

Values from the calculation:
Fermi-level density of states   3.28 states/eV per cell
Energy relative to the elements   -0.504 eV per atom
SG   P4/mmm (123)
Total DFT energy (no corrections)   -39.94 eV per atom

Compound: LiLa2Au
Source: the Alexandria database
Functional: meta-GGA SCAN
Structure: PBEsol geometry

Cell lengths 3.703, 4.965, 6.285 Å; angles 113.21, 107.13, 90.00 degrees
Site moments in Bohr magnetons follow the coordinates.
Element x y z (fractional)
1 Au 0.780 0.279 0.560  0.02
2 Li 0.451 0.451 0.902  0.01
3 La 0.031 0.031 0.061  0.21
4 La 0.239 0.738 0.478  0.14

Values from the calculation:
Fermi-level density of states   3.34 states/eV per cell
Energy relative to the elements   -0.463 eV per atom
SG   Cm (8)
Total DFT energy (no corrections)   -39.90 eV per atom

Compound: LiLaAu2
Source: the Alexandria database
Functional: meta-GGA SCAN
Structure: PBEsol geometry

Cell lengths 4.965, 4.965, 8.734 Å; angles 106.52, 106.52, 90.00 degrees
Element x y z (fractional)
1 Au 0.125 0.257 0.750
2 Li 0.500 0.500 0.000
3 Au 0.507 0.875 0.250
4 Au 0.625 0.493 0.750
5 La 0.000 0.000 0.000
6 Au 0.743 0.375 0.250
7 La 0.250 0.750 0.500
8 Li 0.750 0.250 0.500

Values from the calculation:
Fermi-level density of states   4.88 states/eV per cell
Energy relative to the elements   -0.561 eV per atom
SG   I-42d (122)
Total DFT energy (no corrections)   -46.51 eV per atom

Compound: Li2LaAu
Source: the Alexandria database
Functional: meta-GGA SCAN
Structure: PBEsol geometry

Cell lengths 3.506, 3.506, 7.241 Å; angles 90.00, 90.00, 90.00 degrees
Element x y z (fractional)
1 La 0.500 0.500 0.706
2 Li 0.000 0.000 0.075
3 Au 0.000 0.000 0.448
4 Li 0.500 0.500 0.271

Values from the calculation:
Fermi-level density of states   2.16 states/eV per cell
Energy relative to the elements   -0.439 eV per atom
SG   P4mm (99)
Total DFT energy (no corrections)   -29.70 eV per atom